Density functional theory data (GGA-PBE) for crystalline LiIrRh3 at its relaxed geometry.

Polymorph energy (0 for the lowest one)   0.0 kJ per mole of atoms
Formation enthalpy at 0 K   -4.8 kJ/mol of atoms
Crystal system   triclinic

a b c (Å): 2.6993 5.3428 9.7620
angles (deg): 97.50 97.93 90.02
With the nearest neighbours (Å) after each atom.
Space group P-1 (No. 2)
Unique sites:
Li: 0.1008 0.0485 0.2022 [2 per cell]  8 Rh 2.66-2.71, 2 Ir 2.67, 2 Li 2.70
Ir: 0.1000 0.5477 0.1991 [2 per cell]  2 Li 2.67, 8 Rh 2.68-2.71, 2 Ir 2.70
Rh: 0.3014 0.6541 0.6026 [2 per cell]  8 Rh 2.66-2.76, 2 Li 2.67, 2 Ir 2.68
Rh: 0.3018 0.1509 0.6017 [2 per cell]  8 Rh 2.66-2.73, 2 Li 2.66, 2 Ir 2.70
Rh: 0.5001 0.2453 0.0011 [2 per cell]  4 Rh 2.62-2.72, 4 Li 2.69-2.71, 4 Ir 2.70-2.71

Density functional theory data (GGA-PBE) for crystalline Na3TlPb12 at its relaxed geometry.

Formation enthalpy at 0 K   -7.8 kJ/mol of atoms
Crystal system   tetragonal

a b c (Å): 4.8801 4.8801 20.2792
angles (deg): 90.00 90.00 90.00
With the nearest neighbours (Å) after each atom.
Space group P4/mmm (No. 123)
Unique sites:
Na: 0.0000 0.0000 0.0000 [1 per cell]  12 Pb 3.45-3.51
Na: 0.0000 0.0000 0.2475 [2 per cell]  12 Pb 3.45-3.51
Tl: 0.0000 0.0000 0.5000 [1 per cell]  12 Pb 3.45-3.56
Pb: 0.0000 0.5000 0.1244 [4 per cell]  8 Pb 3.45-3.51, 4 Na 3.49-3.51
Pb: 0.0000 0.5000 0.3721 [4 per cell]  8 Pb 3.45-3.56, 2 Na 3.51, 2 Tl 3.56
Pb: 0.5000 0.5000 0.0000 [1 per cell]  4 Na 3.45, 8 Pb 3.51
Pb: 0.5000 0.5000 0.2482 [2 per cell]  4 Na 3.45, 8 Pb 3.50
Pb: 0.5000 0.5000 0.5000 [1 per cell]  4 Tl 3.45, 8 Pb 3.56